1.
HoZr2C | PBE | optimized geometry

Lattice parameters (Å, degrees): 3.3560 3.3560 8.6531 78.82 78.82 60.00
Sites, in units of the cell vectors:
C 0.0000 0.0000 0.0000
Ho 0.5000 0.5000 0.5000
Zr 0.7171 0.7171 0.8486
Zr 0.2829 0.2829 0.1514

## Properties
Its space group is No. 166. The calculation puts the electronic total energy at -8.0942 eV per atom.


2.
Dy4Ge6Ru7 | PBE | optimized geometry

Lattice parameters (Å, degrees): 7.2510 7.2510 7.2510 109.47 109.47 109.47
Sites, in units of the cell vectors:
Dy 0.5000 0.0000 0.0000
Dy 0.5000 0.5000 0.5000
Dy 0.0000 0.5000 0.0000
Dy 0.0000 0.0000 0.5000
Ge 0.6838 0.0000 0.6838
Ge 0.6838 0.6838 0.0000
Ge 0.0000 0.3162 0.3162
Ge 0.3162 0.0000 0.3162
Ge 0.3162 0.3162 0.0000
Ge 0.0000 0.6838 0.6838
Ru 0.7500 0.5000 0.2500
Ru 0.2500 0.7500 0.5000
Ru 0.5000 0.7500 0.2500
Ru 0.7500 0.2500 0.5000
Ru 0.2500 0.5000 0.7500
Ru 0.5000 0.2500 0.7500
Ru 0.0000 0.0000 0.0000

## Properties
Its space group is No. 229. The calculation puts the electronic total energy at -7.1516 eV per atom.


3.
CsSrF3 | PBE | optimized geometry

Lattice parameters (Å, degrees): 9.1251 9.1251 5.9487 90.00 90.00 149.39
Sites, in units of the cell vectors:
Cs 0.1863 0.8137 0.2500
Cs 0.8137 0.1863 0.7500
Sr 0.4324 0.5676 0.2500
Sr 0.5676 0.4324 0.7500
F 0.0750 0.4155 0.2500
F 0.5845 0.9250 0.2500
F 0.4155 0.0750 0.7500
F 0.9250 0.5845 0.7500
F 0.0000 0.0000 0.0000
F 0.0000 0.0000 0.5000

## Properties
Its space group is No. 63. The calculation puts the raw formation energy at -2.80 eV/atom. The energy above the lowest structure with this stoichiometry comes out at 61.3 kJ per mole of atoms. The calculation puts the electronic total energy at -4.4275 eV per atom.


4.
La2Cd16Bi | PBE | optimized geometry

Lattice parameters (Å, degrees): 7.7507 7.7507 7.7507 84.11 84.11 84.11
Sites, in units of the cell vectors:
La 0.6652 0.6652 0.6652
La 0.3357 0.3357 0.3357
Cd 0.6887 0.9982 0.3126
Cd 0.9982 0.3126 0.6887
Cd 0.3126 0.6887 0.9982
Cd 0.9982 0.6887 0.3126
Cd 0.6887 0.3126 0.9982
Cd 0.3126 0.9982 0.6887
Cd 0.3529 0.8284 0.3529
Cd 0.8284 0.3529 0.3529
Cd 0.3529 0.3529 0.8284
Cd 0.6458 0.1695 0.6458
Cd 0.1695 0.6458 0.6458
Cd 0.6458 0.6458 0.1695
Cd 0.0098 0.4843 0.0098
Cd 0.4843 0.0098 0.0098
Cd 0.0098 0.0098 0.4843
Cd 0.1056 0.1056 0.1056
Bi 0.8952 0.8952 0.8952

## Properties
Its space group is No. 160. The calculation puts the electronic total energy at -1.6766 eV per atom.


5.
YZrV2Hg | PBE | optimized geometry

Lattice parameters (Å, degrees): 4.7992 5.2098 4.7992 90.00 90.00 90.00
Site moments in Bohr magnetons follow the coordinates.
Sites, in units of the cell vectors:
Y 0.0000 0.0000 0.0000  0.07
Hg 0.5000 0.5000 0.5000  -0.02
Zr 0.0000 0.5000 0.0000  -0.06
V 0.0000 0.0000 0.5000  1.52
V 0.5000 0.0000 0.0000  2.09

## Properties
Its space group is No. 123. The calculation puts the electronic total energy at -5.0342 eV per atom.


Question: electronic total energy of number 3 (CsSrF3)?
Answer: -4.4275 eV per atom


Question: Number 2 is which compound?
Answer: Dy4Ge6Ru7